(1)
AgPS2Cl | PBE-GGA | relaxed

```
AgPS2Cl
1.0
4.483 0.000 0.000
0.000 4.483 0.000
0.000 0.000 5.023
Ag P S Cl
1 1 2 1
Cartesian
0.000 0.000 0.000
2.242 2.242 2.511
0.000 2.242 2.511
2.242 0.000 2.511
2.242 2.242 0.000
```

Computed properties:
Polymorph energy (0 for the lowest one) = 0.0000 eV/atom
Fermi-level density of states = 0.41 states/eV/f.u.
Uncorrected formation energy = 1.524 eV/f.u.
E_tot = -16.8 eV for the cell shown

(2)
Ce4GeCl4 | PBE-GGA | relaxed

```
Ce4GeCl4
1.0
-4.523 4.523 2.848
4.523 -4.523 2.848
4.523 4.523 -2.848
Ce Ge Cl
4 1 4
Cartesian
2.764 0.848 0.000
3.675 -1.759 2.848
0.848 6.282 0.000
1.759 3.675 2.848
0.000 0.000 0.000
5.462 1.937 0.000
1.937 3.583 0.000
2.586 0.940 2.848
-0.940 2.586 2.848
```

Computed properties:
Fermi-level density of states = 21.90 states/eV/f.u.
Uncorrected formation energy = -11.896 eV/f.u.
E_tot = -47.6 eV for the cell shown

(3)
KPa2PdS8 | PBE-GGA | relaxed

```
KPa2PdS8
1.0
6.096 0.000 0.000
-3.048 5.279 0.000
0.000 0.000 8.799
K Pa Pd S
1 2 1 8
Cartesian
0.000 0.000 0.000
0.000 3.519 3.363
3.048 1.760 5.436
0.000 0.000 4.399
0.000 1.895 5.785
-1.407 4.332 5.785
0.000 3.519 0.955
1.641 0.947 3.014
1.407 4.332 5.785
3.048 1.760 7.844
4.455 0.947 3.014
3.048 3.385 3.014
```

Computed properties:
Fermi-level density of states = 3.55 states/eV/f.u.
Uncorrected formation energy = -11.030 eV/f.u.
E_tot = -69.3 eV for the cell shown

(4)
SrBiAs | PBE-GGA | relaxed

```
SrBiAs
1.0
5.412 0.000 0.000
0.000 4.546 0.000
-2.659 0.000 7.742
Sr Bi As
2 2 2
Cartesian
0.012 0.000 2.016
2.741 0.000 5.726
0.030 2.273 4.908
2.723 2.273 2.835
1.228 2.273 0.005
1.524 2.273 7.737
```

Computed properties:
Polymorph energy (0 for the lowest one) = 0.1065 eV/atom
Fermi-level density of states = 1.45 states/eV/f.u.
Calculated formation energy = -1.74 eV per formula unit
E_tot = -23.9 eV for the cell shown